RbCoCuB2: relaxed, PBE-GGA.

```
5
Lattice="4.7692 0.0000 0.0000 0.0000 4.7692 0.0000 0.0000 0.0000 4.5928" Properties=species:S:1:pos:R:3 pbc="T T T"
Rb 0.0000 0.0000 0.0000
Co 0.0000 0.0000 2.2964
Cu 2.3846 2.3846 2.2964
B 0.0000 2.3846 0.0000
B 2.3846 0.0000 0.0000
```

## Properties
Its calculated formation energy is 3366.3 meV per atom. The symmetry is P4/mmm, No. 123. The value obtained for the calculated total energy is -1.739 eV per atom.